A relaxed Ac2Mg6CdNi crystal, computed with PBE-GGA.

POSCAR file:
```
Ac2Mg6CdNi
1.0
-3.6266 3.6343 5.1347
3.6266 -3.6343 5.1347
3.6266 3.6343 -5.1347
Ac Mg Cd Ni
2 6 1 1
Cartesian
0.0000 0.0000 2.5645 Ac
0.0000 0.0000 7.7050 Ac
1.7051 1.9280 0.0000 Mg
1.9215 -1.7064 5.1347 Mg
3.6266 0.0000 2.7219 Mg
0.0000 3.6343 2.4128 Mg
1.7051 5.3407 0.0000 Mg
1.9215 1.7064 5.1347 Mg
3.6266 0.0000 0.0000 Cd
0.0000 3.6343 0.0000 Ni
```

The value obtained for the energy of formation from the pure elements is -41 kJ/mol of formula units. The calculation puts the energy at -2.49 eV/atom. For the total magnetic moment, the calculation gives 0.0 μB per formula unit. Its space-group type is Immm, No. 71.